*a*
HfTiI2N PBE relaxed; SG = P4/mmm; mass density = 6.1 g cm⁻³
1.0
-5.671 -0.891 1.034
1.274 -1.868 5.377
-0.332 3.686 1.360
I N Hf Ti
2 1 1 1
direct
0.000 0.500 0.000 I
0.500 0.000 0.000 I
0.000 0.000 0.500 N
0.000 0.000 0.000 Hf
0.500 0.500 0.500 Ti

*b*
HfTiI2N PBE relaxed; SG = P4/mmm; mass density = 7.0 g cm⁻³
1.0
5.632 0.000 0.000
0.000 5.632 0.000
0.000 0.000 3.713
I N Hf Ti
2 1 1 1
direct
0.000 0.500 0.000 I
0.500 0.000 0.000 I
0.000 0.000 0.500 N
0.500 0.500 0.500 Hf
0.000 0.000 0.000 Ti

Quick one: most stable of them? *b*

*a*
HfTlIN2 PBE relaxed; SG = P4/mmm; mass density = 8.4 g cm⁻³
1.0
-3.104 -1.290 2.707
1.890 -3.867 0.325
3.089 1.882 4.438
I Tl Hf N
1 1 1 2
direct
0.000 0.000 0.500 I
0.000 0.000 0.000 Tl
0.500 0.500 0.500 Hf
0.000 0.500 0.000 N
0.500 0.000 0.000 N

*b*
HfTlIN2 PBE relaxed; SG = P4/mmm; mass density = 7.9 g cm⁻³
1.0
-0.757 -3.014 -3.015
2.362 -2.846 2.251
-4.927 -1.737 2.973
I Tl Hf N
1 1 1 2
direct
0.000 0.000 0.500 I
0.500 0.500 0.500 Tl
0.000 0.000 0.000 Hf
0.000 0.500 0.000 N
0.500 0.000 0.000 N

Quick one: most stable of them? *b*

*a*
YHfI2N PBE relaxed; SG = P4/mmm; mass density = 6.5 g cm⁻³
1.0
5.841 0.000 0.000
0.000 5.841 0.000
0.000 0.000 4.006
I Y Hf N
2 1 1 1
direct
0.000 0.500 0.000 I
0.500 0.000 0.000 I
0.500 0.500 0.500 Y
0.000 0.000 0.000 Hf
0.000 0.000 0.500 N

*b*
YHfI2N PBE relaxed; SG = P4/mmm; mass density = 5.9 g cm⁻³
1.0
-4.559 -3.411 2.253
2.828 -0.194 5.428
-1.934 3.329 1.127
I Y Hf N
2 1 1 1
direct
0.000 0.500 0.000 I
0.500 0.000 0.000 I
0.000 0.000 0.000 Y
0.500 0.500 0.500 Hf
0.000 0.000 0.500 N

Quick one: most stable of them? *a*

*a*
HfZrI2N PBE relaxed; SG = P4/mmm; mass density = 6.7 g cm⁻³
1.0
-2.304 0.053 -5.370
-2.033 -5.417 0.819
-3.341 1.473 1.448
I Hf Zr N
2 1 1 1
direct
0.000 0.500 0.000 I
0.500 0.000 0.000 I
0.000 0.000 0.000 Hf
0.500 0.500 0.500 Zr
0.000 0.000 0.500 N

*b*
HfZrI2N PBE relaxed; SG = P4/mmm; mass density = 6.5 g cm⁻³
1.0
-3.030 -4.638 2.013
4.972 -3.158 0.208
0.613 1.210 3.711
I Hf Zr N
2 1 1 1
direct
0.000 0.500 0.000 I
0.500 0.000 0.000 I
0.500 0.500 0.500 Hf
0.000 0.000 0.000 Zr
0.000 0.000 0.500 N

Quick one: most stable of them? *a*

*a*
NaHf2I PBE relaxed; SG = I-42d; mass density = 8.0 g cm⁻³
1.0
8.436 0.000 0.000
0.000 8.436 0.000
4.218 4.218 2.965
I Na Hf
2 2 4
direct
0.000 0.000 0.000 I
0.750 0.250 0.500 I
0.500 0.500 0.000 Na
0.250 0.750 0.500 Na
0.664 0.125 0.250 Hf
0.086 0.625 0.250 Hf
0.375 0.336 0.750 Hf
0.875 0.914 0.750 Hf

*b*
NaHf2I PBE relaxed; SG = Fm-3m; mass density = 9.1 g cm⁻³
1.0
0.000 3.595 3.595
3.595 0.000 3.595
3.595 3.595 0.000
I Na Hf
1 1 2
direct
0.500 0.500 0.500 I
0.000 0.000 0.000 Na
0.250 0.250 0.250 Hf
0.750 0.750 0.750 Hf

Quick one: most stable of them? *a*

*a*
Na3HfI PBE relaxed; SG = Pm-3m; mass density = 2.4 g cm⁻³
1.0
-5.543 2.490 -1.808
-3.054 -4.914 2.592
-0.384 3.137 5.496
I Na Hf
1 3 1
direct
0.500 0.500 0.500 I
0.000 0.500 0.000 Na
0.000 0.000 0.500 Na
0.500 0.000 0.000 Na
0.000 0.000 0.000 Hf

*b*
Na3HfI PBE relaxed; SG = Pm-3m; mass density = 3.1 g cm⁻³
1.0
-5.082 1.504 2.523
-2.872 -1.487 -4.899
-0.616 -5.476 2.023
I Na Hf
1 3 1
direct
0.000 0.000 0.000 I
0.000 0.500 0.000 Na
0.000 0.000 0.500 Na
0.500 0.000 0.000 Na
0.500 0.500 0.500 Hf

Quick one: most stable of them? *b*